Material: Sc3IrC4
Method: DFT, SCAN
State: PBEsol geometry

Lattice parameters (Å, degrees): 5.573 5.574 6.691 114.61 96.19 75.01
Positions (direct):
Sc (0.763, 0.762, 0.000)
Sc (0.500, 0.692, 0.384)
Sc (0.000, 0.810, 0.620)
Sc (0.500, 0.308, 0.616)
Sc (0.237, 0.238, 0.000)
Sc (0.000, 0.190, 0.380)
Ir (0.272, 0.728, 0.000)
Ir (0.728, 0.272, 0.000)
C (0.917, 0.547, 0.256)
C (0.917, 0.291, 0.744)
C (0.083, 0.709, 0.256)
C (0.083, 0.453, 0.744)
C (0.581, 0.956, 0.746)
C (0.419, 0.044, 0.254)
C (0.581, 0.210, 0.254)
C (0.419, 0.790, 0.746)

Values from the calculation:
energy of formation from the pure elements = -0.62 eV/atom
crystal system = monoclinic
total DFT energy (no corrections) = -19.899 eV/atom